## MnAl6Co5 (PBE-GGA)

Data for a relaxed MnAl6Co5 crystal. Values from VASP.

The structure in Quantum ESPRESSO input format:
```
&SYSTEM
  ibrav = 0, nat = 12, ntyp = 3
/
ATOMIC_SPECIES
Al 26.98 Al.upf
Co 58.93 Co.upf
Mn 54.94 Mn.upf
CELL_PARAMETERS angstrom
-3.108 1.336 2.186
2.420 -2.213 4.792
4.460 4.560 -0.146
ATOMIC_POSITIONS crystal
Al 0.500 0.743 0.000
Al 0.168 0.748 0.336
Al 0.832 0.252 0.664
Al 0.168 0.252 0.336
Al 0.832 0.748 0.664
Al 0.500 0.257 0.000
Co 0.665 0.000 0.331
Co 0.332 0.500 0.664
Co 0.335 0.000 0.669
Co 0.000 0.500 0.000
Co 0.668 0.500 0.336
Mn 0.000 0.000 0.000
```

Calculated values
* magnetic moment: 0.083 μB per atom
* Fermi-level density of states: 0.538 states/eV per atom
* space group: Cmmm
* calculated formation energy: -527 meV per atom

## Mn3AlCo4 (PBE-GGA)

Data for a relaxed Mn3AlCo4 crystal. Values from VASP.

The structure in Quantum ESPRESSO input format:
```
&SYSTEM
  ibrav = 0, nat = 8, ntyp = 3
/
ATOMIC_SPECIES
Mn 54.94 Mn.upf
Co 58.93 Co.upf
Al 26.98 Al.upf
CELL_PARAMETERS angstrom
-2.492 -0.987 -2.999
-0.145 -3.781 1.364
-3.172 3.741 4.102
ATOMIC_POSITIONS crystal
Mn 0.000 0.500 0.000
Mn 0.251 0.751 0.502
Mn 0.749 0.249 0.498
Co 0.128 0.128 0.257
Co 0.872 0.872 0.743
Co 0.628 0.628 0.257
Co 0.372 0.372 0.743
Al 0.500 0.000 0.000
```

Calculated values
* magnetic moment: 1.502 μB per atom
* Fermi-level density of states: 0.693 states/eV per atom
* space group: I4/mmm
* calculated formation energy: -174 meV per atom

## Mn2Al2Co (PBE-GGA)

Data for a relaxed Mn2Al2Co crystal. Values from VASP.

The structure in Quantum ESPRESSO input format:
```
&SYSTEM
  ibrav = 0, nat = 5, ntyp = 3
/
ATOMIC_SPECIES
Al 26.98 Al.upf
Mn 54.94 Mn.upf
Co 58.93 Co.upf
CELL_PARAMETERS angstrom
5.873 -3.630 2.184
3.773 -2.246 5.758
-5.982 1.085 -3.934
ATOMIC_POSITIONS crystal
Al 0.403 0.403 0.000
Al 0.597 0.597 0.000
Mn 0.250 0.750 0.500
Mn 0.750 0.250 0.500
Co 0.000 0.000 0.000
```

Calculated values
* energy above the lowest structure with this stoichiometry: 0.166 eV/atom
* magnetic moment: 0.025 μB per atom
* Fermi-level density of states: 0.680 states/eV per atom
* space group: I4/mmm
* calculated formation energy: 164 meV per atom

## MnAl3Co4 (PBE-GGA)

Data for a relaxed MnAl3Co4 crystal. Values from VASP.

The structure in Quantum ESPRESSO input format:
```
&SYSTEM
  ibrav = 0, nat = 8, ntyp = 3
/
ATOMIC_SPECIES
Mn 54.94 Mn.upf
Co 58.93 Co.upf
Al 26.98 Al.upf
CELL_PARAMETERS angstrom
-2.369 -0.218 1.595
1.266 -3.560 1.395
3.759 3.723 6.091
ATOMIC_POSITIONS crystal
Mn 0.500 0.500 0.000
Co 0.000 0.500 0.250
Co 0.000 0.000 0.000
Co 0.000 0.000 0.500
Co 0.000 0.500 0.750
Al 0.500 0.000 0.247
Al 0.500 0.500 0.500
Al 0.500 0.000 0.753
```

Calculated values
* magnetic moment: 0.548 μB per atom
* Fermi-level density of states: 0.438 states/eV per atom
* space group: Pmmm
* calculated formation energy: -457 meV per atom

## Mn2AlCo2 (PBE-GGA)

Data for a relaxed Mn2AlCo2 crystal. Values from VASP.

The structure in Quantum ESPRESSO input format:
```
&SYSTEM
  ibrav = 0, nat = 10, ntyp = 3
/
ATOMIC_SPECIES
Mn 54.94 Mn.upf
Co 58.93 Co.upf
Al 26.98 Al.upf
CELL_PARAMETERS angstrom
-1.947 -3.325 5.605
6.338 -2.327 0.821
0.572 2.059 1.420
ATOMIC_POSITIONS crystal
Mn 0.116 0.384 0.000
Mn 0.384 0.884 0.000
Mn 0.884 0.616 0.000
Mn 0.616 0.116 0.000
Co 0.179 0.679 0.500
Co 0.321 0.179 0.500
Co 0.821 0.321 0.500
Co 0.679 0.821 0.500
Al 0.500 0.500 0.000
Al 0.000 0.000 0.000
```

Calculated values
* magnetic moment: 0.555 μB per atom
* Fermi-level density of states: 1.391 states/eV per atom
* space group: P4/mbm
* calculated formation energy: 140 meV per atom

## MnAl2Co2 (PBE-GGA)

Data for a relaxed MnAl2Co2 crystal. Values from VASP.

The structure in Quantum ESPRESSO input format:
```
&SYSTEM
  ibrav = 0, nat = 10, ntyp = 3
/
ATOMIC_SPECIES
Co 58.93 Co.upf
Al 26.98 Al.upf
Mn 54.94 Mn.upf
CELL_PARAMETERS angstrom
6.750 0.000 0.000
0.000 6.750 0.000
0.000 0.000 2.642
ATOMIC_POSITIONS crystal
Co 0.661 0.839 0.500
Co 0.161 0.661 0.500
Co 0.339 0.161 0.500
Co 0.839 0.339 0.500
Al 0.362 0.862 0.000
Al 0.862 0.638 0.000
Al 0.138 0.362 0.000
Al 0.638 0.138 0.000
Mn 0.000 0.000 0.000
Mn 0.500 0.500 0.000
```

Calculated values
* energy above the lowest structure with this stoichiometry: 0.000 eV/atom
* magnetic moment: 0.000 μB per atom
* Fermi-level density of states: 2.106 states/eV per atom
* space group: P4/mbm
* calculated formation energy: -75 meV per atom